1.
# La3Er8, optimized geometry, DFT PBE-GGA
# density of states at the Fermi level = 18.40 states/eV/cell
# DFT total energy = -50.9 eV per formula unit
# space-group type = No. 12
# ΔE to the lowest computed polymorph = 0.0 meV per atom
# M_tot = 0.00 μB per atom
data_La3Er8
_cell_length_a 5.058
_cell_length_b 6.181
_cell_length_c 12.955
_cell_angle_alpha 104.07
_cell_angle_beta 90.00
_cell_angle_gamma 114.15
_symmetry_space_group_name_H-M 'P 1'
_symmetry_Int_Tables_number 1
_symmetry_space_group_name_Hall 'P 1'
loop_
_atom_site_label
_atom_site_type_symbol
_atom_site_fract_x
_atom_site_fract_y
_atom_site_fract_z
La1 La 0.907 0.815 0.362
La2 La 0.000 0.000 0.000
Er1 Er 0.180 0.361 0.273
Er2 Er 0.454 0.908 0.181
Er3 Er 0.363 0.726 0.545
Er4 Er 0.727 0.454 0.091
Er5 Er 0.820 0.639 0.727
Er6 Er 0.637 0.274 0.455
Er7 Er 0.273 0.546 0.909
Er8 Er 0.546 0.092 0.819
La3 La 0.093 0.185 0.638


2.
# LiLaEr, optimized geometry, DFT PBE-GGA
# density of states at the Fermi level = 18.88 states/eV/cell
# DFT total energy = -10.8 eV per formula unit
# space-group type = No. 148
# ΔE to the lowest computed polymorph = 97.6 meV per atom
# M_tot = 0.00 μB per atom
data_LiLaEr
_cell_length_a 5.892
_cell_length_b 10.234
_cell_length_c 10.234
_cell_angle_alpha 116.41
_cell_angle_beta 101.06
_cell_angle_gamma 101.06
_symmetry_space_group_name_H-M 'P 1'
_symmetry_Int_Tables_number 1
_symmetry_space_group_name_Hall 'P 1'
loop_
_atom_site_label
_atom_site_type_symbol
_atom_site_fract_x
_atom_site_fract_y
_atom_site_fract_z
Er1 Er 0.263 0.892 0.128
Li1 Li 0.320 0.506 0.567
Li2 Li 0.680 0.494 0.433
La1 La 0.776 0.729 0.224
Er2 Er 0.865 0.128 0.236
Li3 Li 0.814 0.061 0.494
La2 La 0.047 0.495 0.271
Li4 Li 0.247 0.567 0.061
Li5 Li 0.186 0.939 0.506
Er3 Er 0.135 0.872 0.764
La3 La 0.447 0.224 0.495
Li6 Li 0.753 0.433 0.939
Er4 Er 0.371 0.236 0.108
Er5 Er 0.629 0.764 0.892
Er6 Er 0.737 0.108 0.872
La4 La 0.224 0.271 0.776
La5 La 0.953 0.505 0.729
La6 La 0.553 0.776 0.505


3.
# LiLa14Er, optimized geometry, DFT PBE-GGA
# density of states at the Fermi level = 25.23 states/eV/cell
# DFT total energy = -75.0 eV per formula unit
# space-group type = No. 123
# M_tot = 0.00 μB per atom
data_LiLa14Er
_cell_length_a 7.337
_cell_length_b 7.337
_cell_length_c 10.512
_cell_angle_alpha 90.00
_cell_angle_beta 90.00
_cell_angle_gamma 90.02
_symmetry_space_group_name_H-M 'P 1'
_symmetry_Int_Tables_number 1
_symmetry_space_group_name_Hall 'P 1'
loop_
_atom_site_label
_atom_site_type_symbol
_atom_site_fract_x
_atom_site_fract_y
_atom_site_fract_z
La1 La 0.375 0.875 0.500
La2 La 0.875 0.875 0.000
La3 La 0.625 0.625 0.747
La4 La 0.875 0.375 0.000
La5 La 0.625 0.625 0.253
Er1 Er 0.875 0.875 0.500
La6 La 0.875 0.375 0.500
La7 La 0.125 0.625 0.747
Li1 Li 0.375 0.375 0.500
La8 La 0.375 0.375 0.000
La9 La 0.625 0.125 0.253
La10 La 0.625 0.125 0.747
La11 La 0.125 0.625 0.253
La12 La 0.125 0.125 0.747
La13 La 0.375 0.875 0.000
La14 La 0.125 0.125 0.253


no.,energy relative to the elements (eV/atom)
1,0.039
2,0.186
3,0.031